Entry 1:
VASP calculation (PBE) on a relaxed CeSeCl crystal.

Properties
The calculation puts the volume at 84.65 Å³/f.u. Its space group is F-43m (216). The electronic total energy is -5.68 eV per atom. The formation energy without anion corrections comes out at -186 kJ per mole of atoms. Its density is 4993 kg/m3.

CIF file:
```
data_CeSeCl
_chemical_formula_sum 'Ce1 Se1 Cl1'
_symmetry_space_group_name_H-M 'P 1'
_symmetry_Int_Tables_number 1
_cell_length_a 4.929
_cell_length_b 4.929
_cell_length_c 4.929
_cell_angle_alpha 60.00
_cell_angle_beta 60.00
_cell_angle_gamma 60.00
loop_
_symmetry_equiv_pos_as_xyz
'x,y,z'
loop_
_atom_site_label
_atom_site_type_symbol
_atom_site_fract_x
_atom_site_fract_y
_atom_site_fract_z
_atom_site_occupancy
Se1 Se 0.000 0.000 0.000 1
Cl1 Cl 0.500 0.500 0.500 1
Ce1 Ce 0.250 0.250 0.250 1
```

Entry 2:
VASP calculation (PBE) on a relaxed Ce2SeCl crystal.

Properties
The calculation puts the volume at 98.10 Å³/f.u. Its space group is Pmmn (59). The electronic total energy is -5.90 eV per atom. The formation energy without anion corrections comes out at -154 kJ per mole of atoms. Its density is 6680 kg/m3.

CIF file:
```
data_Ce2SeCl
_chemical_formula_sum 'Ce4 Se2 Cl2'
_symmetry_space_group_name_H-M 'P 1'
_symmetry_Int_Tables_number 1
_cell_length_a 4.191
_cell_length_b 5.821
_cell_length_c 8.042
_cell_angle_alpha 90.00
_cell_angle_beta 90.00
_cell_angle_gamma 90.00
loop_
_symmetry_equiv_pos_as_xyz
'x,y,z'
loop_
_atom_site_label
_atom_site_type_symbol
_atom_site_fract_x
_atom_site_fract_y
_atom_site_fract_z
_atom_site_occupancy
Ce1 Ce 0.500 0.500 0.619 1
Ce2 Ce 0.000 0.000 0.871 1
Ce3 Ce 0.500 0.500 0.129 1
Ce4 Ce 0.000 0.000 0.381 1
Cl1 Cl 0.000 0.500 0.374 1
Cl2 Cl 0.500 0.000 0.626 1
Se1 Se 0.500 0.000 0.126 1
Se2 Se 0.000 0.500 0.874 1
```